[1]
## ScFeTcB (GGA-PBE)

Data for ScFeTcB after structural relaxation.

a b c (Å): 5.9229 5.9229 5.9229
angles (deg): 90.00 90.00 90.00
Closest atoms and distances in Å follow each position.
Fractional positions:
Sc  0.0000  0.0000  0.0000  4 Tc 2.56, 4 B 2.56
Sc  0.0000  0.5000  0.5000  4 Tc 2.56, 4 B 2.56
Sc  0.5000  0.0000  0.5000  4 Tc 2.56, 4 B 2.56
Sc  0.5000  0.5000  0.0000  4 Tc 2.56, 4 B 2.56
Fe  0.0000  0.0000  0.5000  4 Tc 2.56, 4 B 2.56
Fe  0.0000  0.5000  0.0000  4 Tc 2.56, 4 B 2.56
Fe  0.5000  0.0000  0.0000  4 Tc 2.56, 4 B 2.56
Fe  0.5000  0.5000  0.5000  4 Tc 2.56, 4 B 2.56
Tc  0.2500  0.2500  0.7500  4 Fe 2.56, 4 Sc 2.56
Tc  0.2500  0.7500  0.2500  4 Fe 2.56, 4 Sc 2.56
Tc  0.7500  0.2500  0.2500  4 Fe 2.56, 4 Sc 2.56
Tc  0.7500  0.7500  0.7500  4 Fe 2.56, 4 Sc 2.56
B  0.2500  0.2500  0.2500  4 Fe 2.56, 4 Sc 2.56
B  0.2500  0.7500  0.7500  4 Fe 2.56, 4 Sc 2.56
B  0.7500  0.2500  0.7500  4 Fe 2.56, 4 Sc 2.56
B  0.7500  0.7500  0.2500  4 Fe 2.56, 4 Sc 2.56

Calculated values
The value obtained for the distance to the lowest polymorph of the same formula is 40 meV per atom.

[2]
## OsOF4 (GGA-PBE)

Data for OsOF4 after structural relaxation.

a b c (Å): 5.1881 9.0398 12.0297
angles (deg): 90.00 90.00 90.00
Closest atoms and distances in Å follow each position.
Fractional positions:
Os  0.1059  0.2332  0.2881  1 O 1.67, 1 F 1.87
Os  0.1492  0.4798  0.9866  1 O 1.67
Os  0.3508  0.5202  0.4866  1 O 1.67
Os  0.3941  0.7668  0.7881  1 O 1.67, 1 F 1.87
Os  0.6059  0.2668  0.7119  1 O 1.67, 1 F 1.87
Os  0.6492  0.0202  0.0134  1 O 1.67
Os  0.8508  0.9798  0.5134  1 O 1.67
Os  0.8941  0.7332  0.2119  1 O 1.67, 1 F 1.87
O  0.0754  0.5952  0.5313  1 Os 1.67
O  0.1521  0.8357  0.2444  1 Os 1.67
O  0.3479  0.1643  0.7444  1 Os 1.67
O  0.4246  0.4048  0.0313  1 Os 1.67
O  0.5754  0.9048  0.4687  1 Os 1.67
O  0.6521  0.6643  0.7556  1 Os 1.67
O  0.8479  0.3357  0.2556  1 Os 1.67
O  0.9246  0.0952  0.9687  1 Os 1.67
F  0.0955  0.8439  0.4607  1 Os 1.88
F  0.1095  0.1152  0.5526  1 Os 1.88
F  0.1228  0.5776  0.1409  2 Os 2.03-2.06
F  0.1255  0.3475  0.4327  2 Os 2.02-2.06
F  0.1263  0.1056  0.1648  1 Os 1.88
F  0.1259  0.3930  0.8450  1 Os 1.88
F  0.1345  0.8779  0.8584  1 Os 1.88
F  0.1360  0.6464  0.7273  1 Os 1.87
F  0.3640  0.3536  0.2273  1 Os 1.87
F  0.3655  0.1221  0.3584  1 Os 1.88
F  0.3741  0.6070  0.3450  1 Os 1.88
F  0.3737  0.8944  0.6648  1 Os 1.88
F  0.3745  0.6525  0.9327  2 Os 2.02-2.06
F  0.3772  0.4224  0.6409  2 Os 2.03-2.06
F  0.3905  0.8848  0.0526  1 Os 1.88
F  0.4045  0.1561  0.9607  1 Os 1.88
F  0.5955  0.6561  0.5393  1 Os 1.88
F  0.6095  0.3848  0.4474  1 Os 1.88
F  0.6228  0.9224  0.8591  2 Os 2.03-2.06
F  0.6255  0.1525  0.5673  2 Os 2.02-2.06
F  0.6259  0.1070  0.1550  1 Os 1.88
F  0.6263  0.3944  0.8352  1 Os 1.88
F  0.6345  0.6221  0.1416  1 Os 1.88
F  0.6360  0.8536  0.2727  1 Os 1.87
F  0.8640  0.1464  0.7727  1 Os 1.87
F  0.8655  0.3779  0.6416  1 Os 1.88
F  0.8737  0.6056  0.3352  1 Os 1.88
F  0.8741  0.8930  0.6550  1 Os 1.88
F  0.8745  0.8475  0.0673  2 Os 2.02-2.06
F  0.8772  0.0776  0.3591  2 Os 2.03-2.06
F  0.8905  0.6152  0.9474  1 Os 1.88
F  0.9045  0.3439  0.0393  1 Os 1.88

Calculated values
The value obtained for the distance to the lowest polymorph of the same formula is 0 meV per atom.

[3]
## ThTc (GGA-PBE)

Data for ThTc after structural relaxation.

a b c (Å): 5.7101 5.7101 5.7101
angles (deg): 90.00 90.00 90.00
Closest atoms and distances in Å follow each position.
Fractional positions:
Th  0.0000  0.0000  0.0000  6 Tc 2.86
Th  0.0000  0.5000  0.5000  6 Tc 2.86
Th  0.5000  0.0000  0.5000  6 Tc 2.86
Th  0.5000  0.5000  0.0000  6 Tc 2.86
Tc  0.0000  0.0000  0.5000  6 Th 2.86
Tc  0.0000  0.5000  0.0000  6 Th 2.86
Tc  0.5000  0.0000  0.0000  6 Th 2.86
Tc  0.5000  0.5000  0.5000  6 Th 2.86

Calculated values
For the formation energy, the calculation gives 0.308 eV/atom.

[4]
## Tm4Lu3Ni2Te2 (GGA-PBE)

Data for Tm4Lu3Ni2Te2 after structural relaxation.

a b c (Å): 9.2048 9.2048 9.2048
angles (deg): 156.18 67.19 118.22
Closest atoms and distances in Å follow each position.
Fractional positions:
Tm  0.1340  0.0000  0.1340  2 Ni 2.76, 1 Te 3.09
Tm  0.5198  0.2048  0.3150  2 Ni 2.75
Tm  0.8660  0.0000  0.8660  2 Ni 2.76, 1 Te 3.09
Tm  0.8898  0.2048  0.6850  2 Ni 2.75
Lu  0.2075  0.8535  0.3540  2 Ni 2.78
Lu  0.4994  0.8535  0.6460  2 Ni 2.78
Lu  0.5806  0.5806  0.0000  3 Te 3.16-3.19
Ni  0.2755  0.5110  0.7645  4 Tm 2.75-2.76, 2 Lu 2.78
Ni  0.7465  0.5110  0.2355  4 Tm 2.75-2.76, 2 Lu 2.78
Te  0.2436  0.2436  0.0000  2 Tm 3.09, 5 Lu 3.11-3.19
Te  0.8476  0.3476  0.5000  6 Tm 3.14-3.15, 2 Lu 3.16

Calculated values
The value obtained for the distance to the lowest polymorph of the same formula is 6 meV per atom.

[5]
## MgFeSi2P4 (GGA-PBE)

Data for MgFeSi2P4 after structural relaxation.

a b c (Å): 5.5134 5.5134 10.3630
angles (deg): 90.00 90.00 90.00
Closest atoms and distances in Å follow each position.
Fractional positions:
Mg  0.0000  0.0000  0.0000  4 P 2.51
Mg  0.5000  0.5000  0.5000  4 P 2.51
Fe  0.0000  0.5000  0.7500  4 P 2.33
Fe  0.5000  0.0000  0.2500  4 P 2.33
Si  0.0000  0.0000  0.5000  4 P 2.26
Si  0.0000  0.5000  0.2500  4 P 2.28
Si  0.5000  0.0000  0.7500  4 P 2.28
Si  0.5000  0.5000  0.0000  4 P 2.26
P  0.2263  0.7657  0.3674  2 Si 2.26-2.28, 1 Fe 2.33, 1 Mg 2.51
P  0.2343  0.2263  0.6326  2 Si 2.26-2.28, 1 Fe 2.33, 1 Mg 2.51
P  0.2657  0.2737  0.1326  2 Si 2.26-2.28, 1 Fe 2.33, 1 Mg 2.51
P  0.2737  0.7343  0.8674  2 Si 2.26-2.28, 1 Fe 2.33, 1 Mg 2.51
P  0.7263  0.2657  0.8674  2 Si 2.26-2.28, 1 Fe 2.33, 1 Mg 2.51
P  0.7343  0.7263  0.1326  2 Si 2.26-2.28, 1 Fe 2.33, 1 Mg 2.51
P  0.7657  0.7737  0.6326  2 Si 2.26-2.28, 1 Fe 2.33, 1 Mg 2.51
P  0.7737  0.2343  0.3674  2 Si 2.26-2.28, 1 Fe 2.33, 1 Mg 2.51

[6]
## SmHoCu2Sn2 (GGA-PBE)

Data for SmHoCu2Sn2 after structural relaxation.

a b c (Å): 4.5531 4.5531 7.3031
angles (deg): 90.00 90.00 120.00
Closest atoms and distances in Å follow each position.
Fractional positions:
Sm  0.0000  0.0000  0.0000  3 Cu 2.98, 6 Sn 3.14-3.31
Ho  0.0000  0.0000  0.4993  3 Cu 2.93, 6 Sn 3.10-3.26
Cu  0.3333  0.6667  0.8067  3 Sn 2.70, 3 Sm 2.98
Cu  0.6667  0.3333  0.3230  4 Sn 2.71-2.94, 3 Ho 2.93
Sn  0.3333  0.6667  0.2355  3 Cu 2.71
Sn  0.6667  0.3333  0.7250  4 Cu 2.70-2.94

Summary of uncorrected energy in eV per atom
-7.5011; -5.3917; -8.5789; -5.1154; -5.4997; -4.7230
(order as listed above)
Summary of volume in Å³ per atom
12.986; 11.754; 23.273; 25.026; 19.688; 21.852
(order as listed above)